Entry 1:
Below is BeCo2Tc after structural relaxation, with properties calculated at the PBE level.

Output
- distance to the lowest polymorph of the same formula (meV/atom) = 0

Cell lengths 5.576, 5.576, 5.576 Å; angles 90.00, 90.00, 90.00 degrees
Space group F-43m (No. 216)
Symmetry-distinct sites (fractional):
Be 0.000 0.000 0.000
Co 0.000 0.000 0.500
Co 0.250 0.250 0.250
Tc 0.250 0.250 0.750

Entry 2:
Below is Zr4TeC2Se after structural relaxation, with properties calculated at the PBE level.

Cell lengths 3.5169, 3.5169, 13.0347 Å; angles 90.00, 90.00, 120.00 degrees
Space group P-6m2 (No. 187)
Symmetry-distinct sites (fractional):
Zr 0.0000 0.0000 0.1493
Zr 0.6667 0.3333 0.3334
Te 0.0000 0.0000 0.5000
C 0.3333 0.6667 0.2409
Se 0.6667 0.3333 0.0000

Entry 3:
Below is Hf2BiTe2 after structural relaxation, with properties calculated at the PBE level.

Cell lengths 4.680, 4.680, 12.984 Å; angles 90.00, 90.00, 90.00 degrees
Space group I4/mmm (No. 139)
Symmetry-distinct sites (fractional):
Hf 0.000 0.000 0.119
Bi 0.000 0.000 0.500
Te 0.000 0.500 0.250

Entry 4:
Below is HoB after structural relaxation, with properties calculated at the PBE level.

Output
- distance to the lowest polymorph of the same formula (meV/atom) = 584

Cell lengths 5.704, 5.704, 5.704 Å; angles 90.00, 90.00, 90.00 degrees
Space group F-43m (No. 216)
Symmetry-distinct sites (fractional):
Ho 0.000 0.000 0.000
B 0.250 0.250 0.250

Entry 5:
Below is RbNdPbS3 after structural relaxation, with properties calculated at the PBE level.

Cell lengths 4.181, 17.617, 11.783 Å; angles 90.00, 90.00, 90.00 degrees
Space group Cmcm (No. 63)
Symmetry-distinct sites (fractional):
Rb 0.000 0.159 0.250
Nd 0.000 0.500 0.000
Pb 0.000 0.108 0.750
S 0.000 0.107 0.507
S 0.000 0.496 0.250

Entry 6:
Below is SmHoMg4 after structural relaxation, with properties calculated at the PBE level.

Output
- distance to the lowest polymorph of the same formula (meV/atom) = 2

Cell lengths 5.251, 6.625, 9.095 Å; angles 90.00, 90.00, 90.00 degrees
Space group Imm2 (No. 44)
Symmetry-distinct sites (fractional):
Sm 0.000 0.000 0.000
Ho 0.000 0.500 0.001
Mg 0.000 0.247 0.334
Mg 0.000 0.250 0.668

Sequential total DFT energy (no corrections) output: -7.02, -8.46, -6.07, -4.73, -4.88, -2.65 eV per atom